(1)
Entry from the Alexandria database: a geometry-optimized LaInI2O structure (GGA-PBE).

Output
Fermi-level density of states   0.159 states/eV/atom
Formation energy from raw total energies   -1475 meV/atom

Cell lengths 6.2633, 6.2633, 4.4753 Å; angles 90.00, 90.00, 90.00 degrees
Fractional positions:
O1 0.0000 0.0000 0.5000
In1 0.5000 0.5000 0.5000
I1 0.5000 0.0000 0.0000
I2 0.0000 0.5000 0.0000
La1 0.0000 0.0000 0.0000



(2)
Entry from the Alexandria database: a geometry-optimized La8InOs3I4 structure (GGA-PBE).

Output
Fermi-level density of states   0.416 states/eV/atom
Formation energy from raw total energies   -711 meV/atom

Cell lengths 8.7058, 9.6204, 8.7057 Å; angles 116.91, 120.00, 90.00 degrees
Fractional positions:
La1 0.7567 0.3140 0.5133
Os1 0.5000 0.5000 0.0000
I1 0.0000 0.0000 0.0000
I2 0.0000 0.0000 0.5000
La2 0.6994 0.6860 0.9429
I3 0.5000 0.0000 0.5000
I4 0.5000 0.0000 0.0000
In1 0.0000 0.5000 0.0000
La3 0.7565 0.3140 0.0571
La4 0.2695 0.3089 0.5390
La5 0.7305 0.6911 0.4610
Os2 0.0000 0.5000 0.5000
La6 0.2433 0.6860 0.4867
La7 0.2435 0.6860 0.9429
La8 0.3006 0.3140 0.0571
Os3 0.5000 0.5000 0.5000



(3)
Entry from the Alexandria database: a geometry-optimized LaInPbI6 structure (GGA-PBE).

Output
Fermi-level density of states   0.000 states/eV/atom
Formation energy from raw total energies   -989 meV/atom

Cell lengths 8.2072, 8.2072, 15.1830 Å; angles 90.00, 90.00, 120.00 degrees
Fractional positions:
I1 0.6407 0.6473 0.6291
I2 0.3593 0.0067 0.1291
I3 0.3527 0.9933 0.6291
I4 0.0067 0.6473 0.8709
I5 0.3527 0.3593 0.8709
I6 0.9933 0.6407 0.3709
I7 0.6407 0.9933 0.8709
In1 0.0000 0.0000 0.5000
In2 0.0000 0.0000 0.0000
La1 0.6667 0.3333 0.2500
I8 0.0067 0.3593 0.6291
Pb1 0.6667 0.3333 0.7500
La2 0.3333 0.6667 0.7500
I9 0.6473 0.0067 0.3709
I10 0.3593 0.3527 0.3709
I11 0.6473 0.6407 0.1291
I12 0.9933 0.3527 0.1291
Pb2 0.3333 0.6667 0.2500



(4)
Entry from the Alexandria database: a geometry-optimized LaPrInI structure (GGA-PBE).

Output
Fermi-level density of states   0.844 states/eV/atom
Formation energy from raw total energies   -579 meV/atom

Cell lengths 5.6342, 5.6342, 5.6342 Å; angles 60.00, 60.00, 60.00 degrees
Fractional positions:
Pr1 0.7500 0.7500 0.7500
In1 0.5000 0.5000 0.5000
La1 0.2500 0.2500 0.2500
I1 0.0000 0.0000 0.0000



(5)
Entry from the Alexandria database: a geometry-optimized Rb2LaInI6 structure (GGA-PBE).

Output
Fermi-level density of states   0.000 states/eV/atom
Formation energy from raw total energies   -1314 meV/atom

Cell lengths 8.6083, 9.2744, 12.4985 Å; angles 90.00, 88.73, 90.00 degrees
Fractional positions:
Rb1 0.0354 0.9119 0.2532
I1 0.3007 0.6817 0.0570
Rb2 0.4646 0.4119 0.2468
Rb3 0.5354 0.5881 0.7532
I2 0.1242 0.4612 0.7603
La1 0.0000 0.5000 0.0000
I3 0.1725 0.2087 0.0633
In1 0.0000 0.5000 0.5000
I4 0.3275 0.7087 0.4367
In2 0.5000 0.0000 0.0000
La2 0.5000 0.0000 0.5000
I5 0.3758 0.9612 0.7397
I6 0.1993 0.1817 0.4430
I7 0.8275 0.7913 0.9367
I8 0.6725 0.2913 0.5633
I9 0.6242 0.0388 0.2603
I10 0.8007 0.8183 0.5570
I11 0.6993 0.3183 0.9430
I12 0.8758 0.5388 0.2397
Rb4 0.9646 0.0881 0.7468



(6)
Entry from the Alexandria database: a geometry-optimized Rb2LaInI6 structure (GGA-PBE).

Output
Fermi-level density of states   0.000 states/eV/atom
Formation energy from raw total energies   -1250 meV/atom

Cell lengths 9.1778, 9.1778, 9.1795 Å; angles 60.01, 60.01, 90.00 degrees
Fractional positions:
I1 0.7573 0.7573 0.4854
Rb1 0.2500 0.7500 0.5000
I2 0.7573 0.7573 0.0000
La1 0.0000 0.0000 0.0000
In1 0.5000 0.5000 0.0000
I3 0.2427 0.2427 0.5146
I4 0.7573 0.2427 0.0000
I5 0.2427 0.2427 0.0000
I6 0.2427 0.7573 0.0000
Rb2 0.7500 0.2500 0.5000



(7)
Entry from the Alexandria database: a geometry-optimized LaInRe2I structure (GGA-PBE).

Output
Fermi-level density of states   0.750 states/eV/atom
Formation energy from raw total energies   1676 meV/atom

Cell lengths 4.9053, 5.6945, 4.9053 Å; angles 90.00, 90.00, 90.00 degrees
Each line ends with the local moment (μB).
Fractional positions:
La1 0.5000 0.5000 0.5000  0.00
I1 0.0000 0.0000 0.0000  -0.01
Re1 0.0000 0.0000 0.5000  0.39
Re2 0.5000 0.0000 0.0000  0.45
In1 0.0000 0.5000 0.0000  0.00



(8)
Entry from the Alexandria database: a geometry-optimized La2InRuI structure (GGA-PBE).

Output
Fermi-level density of states   0.828 states/eV/atom
Formation energy from raw total energies   -554 meV/atom

Cell lengths 5.5104, 5.5104, 5.2474 Å; angles 90.00, 90.00, 90.00 degrees
Fractional positions:
La1 0.5000 0.0000 0.0000
I1 0.5000 0.5000 0.5000
Ru1 0.0000 0.0000 0.0000
La2 0.0000 0.5000 0.0000
In1 0.0000 0.0000 0.5000